Crystalline WClF2 at its relaxed geometry. Source: the Alexandria database, functional GGA+U.

Calculated values
offset from the most stable computed form = 463 meV/atom
uncorrected energy = -16.44 eV per formula unit
density = 5.4 g/cm3

Cell: 10.401 10.401 10.401 Å, 16.44 16.44 16.44°
Fractional positions:
F (0.061, 0.061, 0.061)
W (0.000, 0.000, 0.000)
F (0.939, 0.939, 0.939)
Cl (0.500, 0.500, 0.500)